# 1
Rb2Sb2Ru (PBE-GGA, relaxed); formation energy (no corrections) = -0.082 eV per atom; total magnetization = 0.0 μB per formula unit; DOS(E_F) = 0.000 states/eV/f.u.; electronic total energy = -3.9735 eV/atom; crystal system = tetragonal
1.0
7.0111 0.0000 0.0000
0.0000 7.0111 0.0000
0.0000 0.0000 6.1822
Rb Sb Ru
4 4 2
Cartesian
1.2321 2.2734 0.0000
2.2734 5.7790 0.0000
4.7377 1.2321 0.0000
5.7790 4.7377 0.0000
1.0568 4.5623 3.0911
2.4488 1.0568 3.0911
4.5623 5.9543 3.0911
5.9543 2.4488 3.0911
0.0000 0.0000 3.0911
3.5055 3.5055 3.0911



# 2
RbSbRu3 (PBE-GGA, relaxed); formation energy (no corrections) = 1.425 eV per atom; total magnetization = 3.7 μB per formula unit; DOS(E_F) = 4.161 states/eV/f.u.; electronic total energy = -5.1584 eV/atom; crystal system = cubic; relative energy among the computed polymorphs = 0.000 eV/atom
1.0
5.0211 0.0000 0.0000
0.0000 5.0211 0.0000
0.0000 0.0000 5.0211
Rb Sb Ru
1 1 3
Cartesian
0.0000 0.0000 0.0000
2.5105 2.5105 2.5105
0.0000 2.5105 2.5105
2.5105 0.0000 2.5105
2.5105 2.5105 0.0000



# 3
RbSb2Ru (PBE-GGA, relaxed); formation energy (no corrections) = -0.103 eV per atom; total magnetization = 0.0 μB per formula unit; DOS(E_F) = 3.881 states/eV/f.u.; electronic total energy = -4.7246 eV/atom; crystal system = trigonal; relative energy among the computed polymorphs = 0.000 eV/atom
1.0
2.1549 1.2441 7.4113
-2.1549 1.2441 7.4113
0.0000 -2.4882 7.4113
Rb Sb Ru
1 2 1
Cartesian
0.0000 0.0000 0.0000
0.0000 0.0000 4.7485
0.0000 0.0000 17.4855
0.0000 0.0000 11.1170



Number 1: volume 303.9 Å³ per cell. Number 2: volume 126.6 Å³ per cell. Number 3: volume 119.2 Å³ per cell.